(1)
SeSBr2N at its PBEsol-relaxed geometry, computed with meta-GGA SCAN.

POSCAR file:
```
SeSBr2N
1.0
4.290 0.000 0.000
0.000 4.290 0.000
0.000 0.000 4.983
S Se Br N
1 1 2 1
direct
0.500 0.500 0.500
0.000 0.000 0.500
0.000 0.500 0.000
0.500 0.000 0.000
0.000 0.000 0.000
```

N(E_F) (states/eV/f.u.): 3.8
Formation energy from raw total energies (eV/atom): 1.42
Volume (Å³ per cell): 92
Total magnetization (Bohr magnetons per cell): 0.00

(2)
BiPd2RuCl at its PBEsol-relaxed geometry, computed with meta-GGA SCAN.

POSCAR file:
```
BiPd2RuCl
1.0
-0.893 -0.899 -4.603
4.627 -0.936 -0.715
-0.823 -4.929 1.123
Ru Bi Pd Cl
1 1 2 1
direct
0.000 0.000 0.000
0.000 0.000 0.500
0.000 0.500 0.000
0.500 0.000 0.000
0.500 0.500 0.500
```

N(E_F) (states/eV/f.u.): 6.5
Formation energy from raw total energies (eV/atom): 0.87
Volume (Å³ per cell): 117
Total magnetization (Bohr magnetons per cell): 0.00

(3)
ThAlNi at its PBEsol-relaxed geometry, computed with meta-GGA SCAN.

POSCAR file:
```
ThAlNi
1.0
4.065 0.000 0.000
0.000 6.933 0.000
0.000 -3.467 6.004
Ni Al Th
3 3 3
direct
0.500 0.667 0.333
0.000 0.000 0.000
0.500 0.333 0.667
0.500 0.230 0.000
0.500 0.770 0.770
0.500 0.000 0.230
0.000 0.000 0.578
0.000 0.578 0.000
0.000 0.422 0.422
```

N(E_F) (states/eV/f.u.): 1.2
Volume (Å³ per cell): 169
Total magnetization (Bohr magnetons per cell): 0.00
Energy of formation from the pure elements (eV per formula unit): -1.8

(4)
PPtRh2 at its PBEsol-relaxed geometry, computed with meta-GGA SCAN.

POSCAR file:
```
PPtRh2
1.0
-2.260 -0.036 1.522
1.916 -1.904 0.362
3.885 5.028 5.885
P Pt Rh
1 1 2
direct
0.000 0.000 0.510
0.500 0.500 0.265
0.000 0.000 0.995
0.500 0.500 0.729
```

N(E_F) (states/eV/f.u.): 3.9
Volume (Å³ per cell): 56
Total magnetization (Bohr magnetons per cell): 0.00
Energy of formation from the pure elements (eV per formula unit): 0.7

- Among the records above, which one has the highest volume?
  ThAlNi

- Among the records above, which one has the lowest N(E_F)?
  ThAlNi

- Look up the volume of the first one.
  92 Å³ per cell

- Among the records above, which one has the lowest N(E_F)?
  ThAlNi